Computed, not measured: HoScNiPt after structural relaxation at the PBE level of DFT.

Cell and atoms, written as CIF:
```
data_HoScNiPt
_chemical_formula_sum 'Ho1 Sc1 Ni1 Pt1'
_cell_length_a 4.7292
_cell_length_b 4.7292
_cell_length_c 4.7292
_cell_angle_alpha 60.00
_cell_angle_beta 60.00
_cell_angle_gamma 60.00
_symmetry_space_group_name_H-M 'P 1'
_symmetry_Int_Tables_number 1
loop_
_symmetry_equiv_pos_as_xyz
'x,y,z'
loop_
_atom_site_label
_atom_site_type_symbol
_atom_site_fract_x
_atom_site_fract_y
_atom_site_fract_z
Sc1 Sc 0.0000 0.0000 0.0000
Ni1 Ni 0.7500 0.7500 0.7500
Ho1 Ho 0.5000 0.5000 0.5000
Pt1 Pt 0.2500 0.2500 0.2500
```

Calculated values
**Energy of formation**: -832 meV per atom
**VASP energy**: -6.515 eV/atom
**Relative energy among the computed polymorphs**: 23.2 meV per atom

***

Computed, not measured: Ho2Si3NiPt4 after structural relaxation at the PBE level of DFT.

Cell and atoms, written as CIF:
```
data_Ho2Si3NiPt4
_chemical_formula_sum 'Ho2 Si3 Ni1 Pt4'
_cell_length_a 4.1372
_cell_length_b 4.1372
_cell_length_c 10.0724
_cell_angle_alpha 90.00
_cell_angle_beta 90.00
_cell_angle_gamma 90.00
_symmetry_space_group_name_H-M 'P 1'
_symmetry_Int_Tables_number 1
loop_
_symmetry_equiv_pos_as_xyz
'x,y,z'
loop_
_atom_site_label
_atom_site_type_symbol
_atom_site_fract_x
_atom_site_fract_y
_atom_site_fract_z
Ho1 Ho 0.5000 0.0000 0.2619
Ho2 Ho 0.0000 0.5000 0.7381
Si1 Si 0.0000 0.0000 0.5000
Si2 Si 0.5000 0.0000 0.8657
Si3 Si 0.0000 0.5000 0.1343
Ni1 Ni 0.5000 0.5000 0.5000
Pt1 Pt 0.5000 0.5000 0.0000
Pt2 Pt 0.0000 0.0000 0.0000
Pt3 Pt 0.5000 0.0000 0.6351
Pt4 Pt 0.0000 0.5000 0.3649
```

Calculated values
**VASP energy**: -6.529 eV/atom
**Raw formation energy**: -96 kJ/mol of atoms

***

- Number 1 is which compound?
  HoScNiPt